Arrangement a

## La5Ni (GGA-PBE)

Data for a geometry-optimized La5Ni structure.

Lattice parameters (Å, degrees): 6.261 6.261 6.000 90.00 90.00 120.00
Element x y z (fractional)
La 0.000 0.500 0.500
La 0.333 0.667 0.000
La 0.500 0.000 0.500
La 0.500 0.500 0.500
La 0.667 0.333 0.000
Ni 0.000 0.000 0.000

Values from the calculation:
Space-group type: No. 191
Theoretical density (Mg/m³): 6.14
Crystal system: hexagonal

Arrangement b

## La5Ni (GGA-PBE)

Data for a geometry-optimized La5Ni structure.

Lattice parameters (Å, degrees): 9.232 9.232 3.755 90.00 90.00 142.57
Element x y z (fractional)
La 0.380 0.620 0.500
La 0.188 0.812 0.000
La 0.000 0.000 0.500
La 0.812 0.188 0.000
La 0.620 0.380 0.500
Ni 0.500 0.500 0.000

Values from the calculation:
Space-group type: No. 65
Theoretical density (Mg/m³): 6.43
Crystal system: orthorhombic

The structure with the most favorable energy is arrangement b; the runner-up is 779 meV per atom above it.

Arrangement a

## La4Ni3 (GGA-PBE)

Data for a geometry-optimized La4Ni3 structure.

Lattice parameters (Å, degrees): 3.544 3.544 28.820 90.00 90.00 90.00
Element x y z (fractional)
Ni 0.000 0.000 0.000
Ni 0.500 0.500 0.500
Ni 0.000 0.000 0.728
Ni 0.500 0.500 0.228
Ni 0.000 0.000 0.272
Ni 0.500 0.500 0.772
La 0.000 0.000 0.823
La 0.500 0.500 0.323
La 0.000 0.000 0.177
La 0.500 0.500 0.677
La 0.000 0.000 0.558
La 0.500 0.500 0.058
La 0.000 0.000 0.442
La 0.500 0.500 0.942

Values from the calculation:
Space-group type: No. 139
Theoretical density (Mg/m³): 6.71
Crystal system: tetragonal

Arrangement b

## La4Ni3 (GGA-PBE)

Data for a geometry-optimized La4Ni3 structure.

Lattice parameters (Å, degrees): 5.418 5.418 6.231 90.00 90.00 120.00
Element x y z (fractional)
La 0.000 0.000 0.232
La 0.000 0.000 0.768
La 0.667 0.333 0.500
La 0.333 0.667 0.500
Ni 0.000 0.500 0.000
Ni 0.500 0.500 0.000
Ni 0.500 0.000 0.000

Values from the calculation:
Space-group type: No. 191
Theoretical density (Mg/m³): 7.67
Crystal system: hexagonal

The structure with the most favorable energy is arrangement a; the runner-up is 142 meV per atom above it.

Arrangement a

## La4Ni (GGA-PBE)

Data for a geometry-optimized La4Ni structure.

Lattice parameters (Å, degrees): 5.945 5.945 5.945 109.47 109.47 109.47
Element x y z (fractional)
La 0.500 0.000 0.000
La 0.500 0.500 0.500
La 0.000 0.500 0.000
La 0.000 0.000 0.500
Ni 0.000 0.000 0.000

Values from the calculation:
Space-group type: No. 229
Theoretical density (Mg/m³): 6.31
Crystal system: cubic

Arrangement b

## La4Ni (GGA-PBE)

Data for a geometry-optimized La4Ni structure.

Lattice parameters (Å, degrees): 10.414 10.414 10.414 157.55 157.55 31.97
Element x y z (fractional)
La 0.250 0.750 0.500
La 0.750 0.250 0.500
La 0.577 0.577 0.000
La 0.423 0.423 0.000
Ni 0.000 0.000 0.000

Values from the calculation:
Space-group type: No. 139
Theoretical density (Mg/m³): 6.20
Crystal system: tetragonal

Arrangement c

## La4Ni (GGA-PBE)

Data for a geometry-optimized La4Ni structure.

Lattice parameters (Å, degrees): 3.672 6.799 6.799 94.18 105.67 74.33
Element x y z (fractional)
La 0.247 0.184 0.677
La 0.570 0.677 0.816
La 0.753 0.816 0.323
La 0.430 0.323 0.184
Ni 0.000 0.000 0.000

Values from the calculation:
Space-group type: No. 87
Theoretical density (Mg/m³): 6.48
Crystal system: tetragonal

The structure with the most favorable energy is arrangement c; the runner-up is 250 meV per atom above it.

Arrangement a

## La5Ni3 (GGA-PBE)

Data for a geometry-optimized La5Ni3 structure.

Lattice parameters (Å, degrees): 7.009 7.009 4.547 90.00 90.00 109.94
Element x y z (fractional)
La 0.000 0.000 0.000
La 0.500 0.000 0.000
La 0.000 0.500 0.000
La 0.695 0.695 0.500
La 0.305 0.305 0.500
Ni 0.500 0.500 0.000
Ni 0.827 0.173 0.500
Ni 0.173 0.827 0.500

Values from the calculation:
Space-group type: No. 65
Theoretical density (Mg/m³): 6.89
Crystal system: orthorhombic

Arrangement b

## La5Ni3 (GGA-PBE)

Data for a geometry-optimized La5Ni3 structure.

Lattice parameters (Å, degrees): 7.956 7.956 13.148 90.00 90.00 90.00
Element x y z (fractional)
La 0.808 0.867 0.611
La 0.192 0.867 0.111
La 0.133 0.808 0.389
La 0.000 0.500 0.692
La 0.867 0.192 0.389
La 0.692 0.633 0.389
La 0.633 0.308 0.611
La 0.367 0.692 0.611
La 0.000 0.500 0.192
La 0.633 0.692 0.111
La 0.692 0.367 0.889
La 0.867 0.808 0.889
La 0.308 0.367 0.389
La 0.192 0.133 0.611
La 0.808 0.133 0.111
La 0.308 0.633 0.889
La 0.367 0.308 0.111
La 0.500 0.000 0.308
La 0.133 0.192 0.889
La 0.500 0.000 0.808
Ni 0.626 0.374 0.250
Ni 0.126 0.874 0.750
Ni 0.374 0.374 0.750
Ni 0.374 0.626 0.250
Ni 0.874 0.874 0.250
Ni 0.626 0.626 0.750
Ni 0.000 0.500 0.479
Ni 0.874 0.126 0.750
Ni 0.500 0.000 0.521
Ni 0.500 0.000 0.021
Ni 0.126 0.126 0.250
Ni 0.000 0.500 0.979

Values from the calculation:
Space-group type: No. 130
Theoretical density (Mg/m³): 6.95
Crystal system: tetragonal

The structure with the most favorable energy is arrangement b; the runner-up is 158 meV per atom above it.